(1)
Compound: La3CrPb
Source: the Alexandria database
Functional: GGA-PBEsol
Structure: relaxed

Structure (POSCAR):
```
La3CrPb
1.0
-3.879 -2.017 2.767
0.392 -4.415 -2.669
3.401 -1.792 3.463
La Pb Cr
3 1 1
Direct
0.500 0.000 0.000 La
0.000 0.000 0.500 La
0.000 0.500 0.000 La
0.500 0.500 0.500 Pb
0.000 0.000 0.000 Cr
```

Properties
The calculation puts the calculated total energy at -0.4494 Ry/atom. As for the symmetry: Pm-3m (221). The value obtained for the formation energy is -0.058 eV per atom. For the volume, the calculation gives 27.7 Å³ per atom.

***

(2)
Compound: LaCr2Pb
Source: the Alexandria database
Functional: GGA-PBEsol
Structure: relaxed

Structure (POSCAR):
```
LaCr2Pb
1.0
-3.107 -0.603 0.213
0.638 -2.841 1.259
-0.119 3.153 7.175
Cr La Pb
2 1 1
Direct
0.000 0.000 0.051 Cr
0.500 0.500 0.180 Cr
0.000 0.000 0.465 La
0.500 0.500 0.804 Pb
```

Properties
The calculation puts the calculated total energy at -0.5273 Ry/atom. As for the symmetry: P4mm (99). The value obtained for the formation energy is 0.283 eV per atom. For the volume, the calculation gives 19.7 Å³ per atom.

***

(3)
Compound: LaCr2Pb
Source: the Alexandria database
Functional: GGA-PBEsol
Structure: relaxed

Structure (POSCAR):
```
LaCr2Pb
1.0
3.642 0.000 0.000
0.000 3.642 0.000
0.000 0.000 6.497
La Cr Pb
1 2 1
Direct
0.500 0.500 0.000 La
0.000 0.000 0.654 Cr
0.000 0.000 0.346 Cr
0.500 0.500 0.500 Pb
```

Properties
The calculation puts the calculated total energy at -0.4993 Ry/atom. As for the symmetry: P4/mmm (123). The value obtained for the formation energy is 0.664 eV per atom. For the volume, the calculation gives 21.5 Å³ per atom.

***

(4)
Compound: LaCr4Pt
Source: the Alexandria database
Functional: GGA-PBEsol
Structure: relaxed

Structure (POSCAR):
```
LaCr4Pt
1.0
4.992 0.000 0.000
2.496 4.323 0.000
2.496 1.441 4.076
Cr La Pt
4 1 1
Direct
0.876 0.375 0.375 Cr
0.375 0.375 0.375 Cr
0.375 0.375 0.876 Cr
0.375 0.876 0.375 Cr
0.750 0.750 0.750 La
0.000 0.000 0.000 Pt
```

Properties
The calculation puts the calculated total energy at -0.6214 Ry/atom. As for the symmetry: F-43m (216). The value obtained for the formation energy is 0.425 eV per atom. For the volume, the calculation gives 14.7 Å³ per atom.

***

(5)
Compound: LaCrPt
Source: the Alexandria database
Functional: GGA-PBEsol
Structure: relaxed

Structure (POSCAR):
```
LaCrPt
1.0
4.706 0.000 0.000
2.353 4.076 0.000
2.353 1.359 3.843
Cr Pt La
1 1 1
Direct
0.000 0.000 0.000 Cr
0.750 0.750 0.750 Pt
0.500 0.500 0.500 La
```

Properties
The calculation puts the calculated total energy at -0.5544 Ry/atom. As for the symmetry: F-43m (216). The value obtained for the formation energy is -0.025 eV per atom. The energy relative to the lowest polymorph listed for this composition comes out at 0 meV/atom. For the volume, the calculation gives 24.6 Å³ per atom.

***

(6)
Compound: LaCr2Pt2
Source: the Alexandria database
Functional: GGA-PBEsol
Structure: relaxed

Structure (POSCAR):
```
LaCr2Pt2
1.0
3.772 0.000 0.000
0.000 3.772 0.000
-1.886 -1.886 6.156
Cr Pt La
2 2 1
Direct
0.250 0.750 0.500 Cr
0.750 0.250 0.500 Cr
0.612 0.612 0.224 Pt
0.388 0.388 0.776 Pt
0.000 0.000 0.000 La
```

Properties
The calculation puts the calculated total energy at -0.5897 Ry/atom. As for the symmetry: I4/mmm (139). The value obtained for the formation energy is -0.072 eV per atom. For the volume, the calculation gives 17.5 Å³ per atom.

***

(7)
Compound: RbLa3Cr
Source: the Alexandria database
Functional: GGA-PBEsol
Structure: relaxed

Structure (POSCAR):
```
RbLa3Cr
1.0
-5.522 -0.640 0.531
0.602 -0.614 5.518
-0.574 5.514 0.676
La Cr Rb
3 1 1
Direct
0.500 0.000 0.000 La
0.000 0.000 0.500 La
0.000 0.500 0.000 La
0.500 0.500 0.500 Cr
0.000 0.000 0.000 Rb
```

Properties
The calculation puts the calculated total energy at -0.2927 Ry/atom. As for the symmetry: Pm-3m (221). The value obtained for the formation energy is 1.479 eV per atom. For the volume, the calculation gives 34.8 Å³ per atom.

***

(8)
Compound: LaCrRe3
Source: the Alexandria database
Functional: GGA-PBEsol
Structure: relaxed

Structure (POSCAR):
```
LaCrRe3
1.0
-2.267 0.790 -3.860
-1.435 -4.313 -0.040
-3.669 1.198 2.400
Re La Cr
3 1 1
Direct
0.000 0.500 0.000 Re
0.500 0.000 0.000 Re
0.000 0.000 0.500 Re
0.500 0.500 0.500 La
0.000 0.000 0.000 Cr
```

Properties
The calculation puts the calculated total energy at -0.7395 Ry/atom. As for the symmetry: Pm-3m (221). The value obtained for the formation energy is 1.056 eV per atom. For the volume, the calculation gives 18.8 Å³ per atom.

***

(9)
Compound: La2CrRe
Source: the Alexandria database
Functional: GGA-PBEsol
Structure: relaxed

Structure (POSCAR):
```
La2CrRe
1.0
-2.059 -0.930 -2.776
1.472 -3.263 0.000
-5.072 -2.288 4.528
Re Cr La
1 1 2
Direct
0.500 0.500 0.000 Re
0.500 0.500 0.500 Cr
0.000 0.000 0.236 La
0.000 0.000 0.764 La
```

Properties
The calculation puts the calculated total energy at -0.5833 Ry/atom. As for the symmetry: P4/mmm (123). The value obtained for the formation energy is 0.631 eV per atom. The energy relative to the lowest polymorph listed for this composition comes out at 225 meV/atom. For the volume, the calculation gives 23.0 Å³ per atom.

***

(10)
Compound: La2CrRe
Source: the Alexandria database
Functional: GGA-PBEsol
Structure: relaxed

Structure (POSCAR):
```
La2CrRe
1.0
-1.277 -1.455 2.429
2.427 -2.963 -0.499
5.532 3.840 4.109
Cr La Re
1 2 1
Direct
0.434 0.500 0.675 Cr
0.621 0.500 0.329 La
0.869 0.000 0.920 La
0.075 0.000 0.576 Re
```

Properties
The calculation puts the calculated total energy at -0.5998 Ry/atom. As for the symmetry: Pm (6). The value obtained for the formation energy is 0.406 eV per atom. The energy relative to the lowest polymorph listed for this composition comes out at 0 meV/atom. For the volume, the calculation gives 23.5 Å³ per atom.

***

(11)
Compound: La4CrRe
Source: the Alexandria database
Functional: GGA-PBEsol
Structure: relaxed

Structure (POSCAR):
```
La4CrRe
1.0
6.050 0.000 0.000
3.025 5.240 0.000
3.025 1.747 4.940
Re Cr La
1 1 4
Direct
0.750 0.750 0.750 Re
0.000 0.000 0.000 Cr
0.873 0.376 0.376 La
0.376 0.873 0.376 La
0.376 0.376 0.376 La
0.376 0.376 0.873 La
```

Properties
The calculation puts the calculated total energy at -0.4607 Ry/atom. As for the symmetry: F-43m (216). The value obtained for the formation energy is 1.225 eV per atom. For the volume, the calculation gives 26.1 Å³ per atom.

***

(12)
Compound: LaCrRe2Se
Source: the Alexandria database
Functional: GGA-PBEsol
Structure: relaxed

Structure (POSCAR):
```
LaCrRe2Se
1.0
4.484 0.000 0.000
0.000 4.669 0.000
0.000 0.000 4.669
Re Cr La Se
2 1 1 1
Direct
0.000 0.000 0.500 Re
0.000 0.500 0.000 Re
0.500 0.000 0.000 Cr
0.500 0.500 0.500 La
0.000 0.000 0.000 Se
```

Properties
The calculation puts the calculated total energy at -0.6108 Ry/atom. As for the symmetry: P4/mmm (123). Its uncorrected formation energy is 0.91 eV per atom. For the volume, the calculation gives 19.5 Å³ per atom.